VASP calculation (PBE) on a relaxed HfPdAu4 crystal.

distance to the lowest polymorph of the same formula	0	meV/atom
formation enthalpy at 0 K	-0.380	eV/atom

abc: 5.0838 5.0804 5.1055
angles: 78.90 78.96 119.44
Closest atoms and distances in Å follow each position.
Fractional coordinates of all 6 atoms:
Au  0.8325  0.6681  0.0015  7 Au 2.85-2.96, 2 Pd 2.94, 3 Hf 2.94-2.95
Au  0.3346  0.1659  0.5014  7 Au 2.85-2.98, 2 Hf 2.93, 3 Pd 2.93-2.95
Au  0.6617  0.8394  0.5012  7 Au 2.85-2.98, 2 Hf 2.93, 3 Pd 2.94-2.95
Au  0.1637  0.3375  0.0011  7 Au 2.85-2.96, 2 Pd 2.94, 3 Hf 2.94-2.95
Pd  0.9981  0.5027  0.5013  2 Hf 2.85, 10 Au 2.93-2.95
Hf  0.4982  0.0028  0.0013  2 Pd 2.85, 10 Au 2.93-2.95

VASP calculation (PBE) on a relaxed HfPd3Au6 crystal.

formation enthalpy at 0 K	-0.292	eV/atom

abc: 4.8355 7.6249 10.4770
angles: 116.04 90.00 90.00
Closest atoms and distances in Å follow each position.
Fractional coordinates of all 20 atoms:
Pd  0.2500  0.3212  0.8283  1 Hf 2.76, 8 Au 2.83-2.95, 3 Pd 2.92-2.96
Pd  0.7500  0.2664  0.9692  9 Au 2.85-2.91, 3 Pd 2.92-2.96
Pd  0.7500  0.6788  0.1717  1 Hf 2.76, 8 Au 2.83-2.95, 3 Pd 2.92-2.96
Pd  0.2500  0.7336  0.0308  9 Au 2.85-2.91, 3 Pd 2.92-2.96
Pd  0.7500  0.4524  0.5614  1 Hf 2.75, 9 Au 2.85-2.99, 2 Pd 2.97
Pd  0.2500  0.5476  0.4386  1 Hf 2.75, 9 Au 2.85-2.99, 2 Pd 2.97
Au  0.2500  0.6308  0.7319  6 Au 2.80-3.00, 5 Pd 2.85-2.96, 1 Hf 2.93
Au  0.7500  0.8621  0.7654  2 Pd 2.88-2.91, 8 Au 2.88-2.96, 2 Hf 2.96
Au  0.7500  0.7634  0.4664  5 Au 2.80-2.97, 4 Pd 2.86-2.95, 3 Hf 2.91-2.93
Au  0.7500  0.1675  0.6705  5 Au 2.82-2.97, 4 Pd 2.87-2.88, 3 Hf 2.91-2.92
Au  0.7500  0.5620  0.8726  5 Au 2.82-3.00, 7 Pd 2.85-2.99
Au  0.2500  0.0354  0.9314  4 Pd 2.83-2.91, 7 Au 2.85-2.98, 1 Hf 2.88
Au  0.7500  0.3692  0.2681  6 Au 2.80-3.00, 5 Pd 2.85-2.96, 1 Hf 2.93
Au  0.2500  0.8325  0.3295  5 Au 2.82-2.97, 4 Pd 2.87-2.88, 3 Hf 2.91-2.92
Au  0.7500  0.9646  0.0686  4 Pd 2.83-2.91, 7 Au 2.85-2.98, 1 Hf 2.88
Au  0.2500  0.4380  0.1274  5 Au 2.82-3.00, 7 Pd 2.85-2.99
Au  0.2500  0.1379  0.2346  2 Pd 2.88-2.91, 8 Au 2.88-2.96, 2 Hf 2.96
Au  0.2500  0.2366  0.5336  5 Au 2.80-2.97, 4 Pd 2.86-2.95, 3 Hf 2.91-2.93
Hf  0.7500  0.0659  0.3681  2 Pd 2.75-2.76, 10 Au 2.88-2.96
Hf  0.2500  0.9341  0.6319  2 Pd 2.75-2.76, 10 Au 2.88-2.96

VASP calculation (PBE) on a relaxed HfPdAu4 crystal.

distance to the lowest polymorph of the same formula	56	meV/atom
formation enthalpy at 0 K	-0.324	eV/atom

abc: 4.7814 7.2203 8.1710
angles: 90.00 90.00 49.73
Closest atoms and distances in Å follow each position.
Fractional coordinates of all 12 atoms:
Pd  0.5000  0.7500  0.7500  2 Hf 2.76, 8 Au 3.05-3.06
Pd  0.5000  0.2500  0.2500  2 Hf 2.76, 8 Au 3.05-3.06
Hf  0.0000  0.2500  0.7500  2 Pd 2.76, 8 Au 3.05
Hf  0.0000  0.7500  0.2500  2 Pd 2.76, 8 Au 3.05
Au  0.7493  0.5008  0.4172  5 Au 2.73-2.76, 2 Pd 3.05-3.06, 2 Hf 3.05
Au  0.2507  0.4992  0.9172  5 Au 2.73-2.76, 2 Pd 3.05-3.06, 2 Hf 3.05
Au  0.2507  0.9992  0.0828  5 Au 2.73-2.76, 2 Pd 3.05-3.06, 2 Hf 3.05
Au  0.7493  0.0008  0.9172  5 Au 2.73-2.76, 2 Pd 3.05-3.06, 2 Hf 3.05
Au  0.7493  0.5008  0.0828  5 Au 2.73-2.76, 2 Pd 3.05-3.06, 2 Hf 3.05
Au  0.2507  0.9992  0.4172  5 Au 2.73-2.76, 2 Pd 3.05-3.06, 2 Hf 3.05
Au  0.7493  0.0008  0.5828  5 Au 2.73-2.76, 2 Pd 3.05-3.06, 2 Hf 3.05
Au  0.2507  0.4992  0.5828  5 Au 2.73-2.76, 2 Pd 3.05-3.06, 2 Hf 3.05

VASP calculation (PBE) on a relaxed HfPd9Au2 crystal.

formation enthalpy at 0 K	-0.342	eV/atom

abc: 4.0086 4.0086 12.0205
angles: 90.00 90.00 90.00
Closest atoms and distances in Å follow each position.
Fractional coordinates of all 12 atoms:
Pd  0.0000  0.5000  0.8372  2 Hf 2.80, 8 Pd 2.80-2.85, 2 Au 2.88
Pd  0.5000  0.5000  0.0000  8 Pd 2.80, 4 Hf 2.83
Pd  0.0000  0.5000  0.1628  2 Hf 2.80, 8 Pd 2.80-2.85, 2 Au 2.88
Pd  0.5000  0.0000  0.1628  2 Hf 2.80, 8 Pd 2.80-2.85, 2 Au 2.88
Pd  0.5000  0.5000  0.6692  4 Au 2.83, 8 Pd 2.85-2.86
Pd  0.5000  0.0000  0.8372  2 Hf 2.80, 8 Pd 2.80-2.85, 2 Au 2.88
Pd  0.5000  0.0000  0.5000  4 Au 2.82, 8 Pd 2.83-2.86
Pd  0.0000  0.5000  0.5000  4 Au 2.82, 8 Pd 2.83-2.86
Pd  0.5000  0.5000  0.3308  4 Au 2.83, 8 Pd 2.85-2.86
Au  0.0000  0.0000  0.6652  12 Pd 2.82-2.88
Au  0.0000  0.0000  0.3348  12 Pd 2.82-2.88
Hf  0.0000  0.0000  0.0000  12 Pd 2.80-2.83

VASP calculation (PBE) on a relaxed Hf2Pd9Au crystal.

formation enthalpy at 0 K	-0.632	eV/atom

abc: 4.0082 4.0082 12.0595
angles: 90.00 90.00 90.00
Closest atoms and distances in Å follow each position.
Fractional coordinates of all 12 atoms:
Hf  0.0000  0.0000  0.6708  12 Pd 2.76-2.87
Hf  0.0000  0.0000  0.3292  12 Pd 2.76-2.87
Pd  0.0000  0.5000  0.5000  8 Pd 2.81-2.83, 4 Hf 2.87
Pd  0.5000  0.5000  0.3365  8 Pd 2.81-2.82, 4 Hf 2.84
Pd  0.0000  0.5000  0.8278  2 Hf 2.76, 8 Pd 2.82-2.89, 2 Au 2.89
Pd  0.5000  0.5000  0.0000  4 Au 2.83, 8 Pd 2.89
Pd  0.0000  0.5000  0.1722  2 Hf 2.76, 8 Pd 2.82-2.89, 2 Au 2.89
Pd  0.5000  0.0000  0.1722  2 Hf 2.76, 8 Pd 2.82-2.89, 2 Au 2.89
Pd  0.5000  0.0000  0.5000  8 Pd 2.81-2.83, 4 Hf 2.87
Pd  0.5000  0.0000  0.8278  2 Hf 2.76, 8 Pd 2.82-2.89, 2 Au 2.89
Pd  0.5000  0.5000  0.6635  8 Pd 2.81-2.82, 4 Hf 2.84
Au  0.0000  0.0000  0.0000  12 Pd 2.83-2.89

VASP calculation (PBE) on a relaxed HfPd4Au3 crystal.

formation enthalpy at 0 K	-0.454	eV/atom

abc: 4.1223 4.1223 8.4501
angles: 104.22 104.22 90.03
Closest atoms and distances in Å follow each position.
Fractional coordinates of all 8 atoms:
Pd  0.8787  0.8785  0.7581  2 Hf 2.81-2.82, 6 Au 2.81-2.95, 4 Pd 2.91-2.92
Pd  0.1213  0.1215  0.2419  2 Hf 2.81-2.82, 6 Au 2.81-2.95, 4 Pd 2.91-2.92
Pd  0.6214  0.6213  0.2419  2 Hf 2.81-2.82, 6 Au 2.81-2.95, 4 Pd 2.91-2.92
Pd  0.3786  0.3787  0.7581  2 Hf 2.81-2.82, 6 Au 2.81-2.95, 4 Pd 2.91-2.92
Hf  0.5000  0.0000  0.0000  8 Pd 2.81-2.82, 4 Au 2.91-2.92
Au  0.0000  0.5000  0.0000  8 Pd 2.81-2.82, 4 Hf 2.91-2.92
Au  0.2462  0.7462  0.4927  8 Pd 2.86-2.95, 4 Au 2.92
Au  0.7538  0.2538  0.5073  8 Pd 2.86-2.95, 4 Au 2.92

VASP calculation (PBE) on a relaxed HfPd4Au5 crystal.

formation enthalpy at 0 K	-0.351	eV/atom

abc: 4.9457 5.7985 6.4729
angles: 103.52 104.99 75.09
Closest atoms and distances in Å follow each position.
Fractional coordinates of all 10 atoms:
Pd  0.6953  0.2922  0.3913  1 Hf 2.79, 8 Au 2.84-2.95, 3 Pd 2.90-2.99
Pd  0.8963  0.0999  0.8014  2 Hf 2.84-2.89, 7 Au 2.84-2.94, 3 Pd 2.90-2.95
Pd  0.1037  0.9001  0.1986  2 Hf 2.84-2.89, 7 Au 2.84-2.94, 3 Pd 2.90-2.95
Pd  0.3047  0.7078  0.6087  1 Hf 2.79, 8 Au 2.84-2.95, 3 Pd 2.90-2.99
Au  0.1029  0.3935  0.1999  6 Pd 2.84-2.94, 5 Au 2.87-2.96, 1 Hf 2.89
Au  0.8971  0.6065  0.8001  6 Pd 2.84-2.94, 5 Au 2.87-2.96, 1 Hf 2.89
Au  0.7041  0.8015  0.4004  7 Pd 2.85-2.95, 4 Au 2.87-2.94, 1 Hf 2.92
Au  0.2959  0.1985  0.5996  7 Pd 2.85-2.95, 4 Au 2.87-2.94, 1 Hf 2.92
Au  0.5000  0.5000  0.0000  6 Au 2.87-2.89, 4 Pd 2.89-2.91, 2 Hf 2.90
Hf  0.5000  0.0000  0.0000  6 Pd 2.79-2.89, 6 Au 2.89-2.92

VASP calculation (PBE) on a relaxed Hf2Pd7Au3 crystal.

formation enthalpy at 0 K	-0.547	eV/atom

abc: 4.9196 4.9194 9.5154
angles: 109.67 109.70 72.32
Closest atoms and distances in Å follow each position.
Fractional coordinates of all 12 atoms:
Au  0.6670  0.6674  0.3343  8 Pd 2.85, 1 Au 2.89, 3 Hf 2.90-2.92
Au  0.5000  0.5000  0.0000  10 Pd 2.85-2.90, 2 Au 2.89
Au  0.3330  0.3326  0.6657  8 Pd 2.85, 1 Au 2.89, 3 Hf 2.90-2.92
Pd  0.0000  0.0000  0.0000  2 Hf 2.83, 8 Pd 2.86, 2 Au 2.90
Pd  0.9159  0.4164  0.8321  2 Hf 2.82, 4 Au 2.85-2.86, 6 Pd 2.86-2.90
Pd  0.0841  0.5836  0.1679  2 Hf 2.82, 4 Au 2.85-2.86, 6 Pd 2.86-2.90
Pd  0.4160  0.9158  0.8321  2 Hf 2.82, 4 Au 2.85-2.86, 6 Pd 2.86-2.90
Pd  0.2500  0.7500  0.5000  4 Au 2.85, 4 Pd 2.87-2.90, 4 Hf 2.87-2.88
Pd  0.5840  0.0842  0.1679  2 Hf 2.82, 4 Au 2.85-2.86, 6 Pd 2.86-2.90
Pd  0.7500  0.2500  0.5000  4 Au 2.85, 4 Pd 2.87-2.90, 4 Hf 2.87-2.88
Hf  0.8365  0.8364  0.6723  9 Pd 2.82-2.88, 3 Au 2.90-2.92
Hf  0.1635  0.1636  0.3277  9 Pd 2.82-2.88, 3 Au 2.90-2.92

VASP calculation (PBE) on a relaxed HfPdAu2 crystal.

formation enthalpy at 0 K	-0.500	eV/atom

abc: 4.6578 4.6578 4.6578
angles: 60.00 60.00 60.00
Closest atoms and distances in Å follow each position.
Fractional coordinates of all 4 atoms:
Pd  0.0000  0.0000  0.0000  8 Au 2.85
Hf  0.5000  0.5000  0.5000  8 Au 2.85
Au  0.7500  0.7500  0.7500  4 Hf 2.85, 4 Pd 2.85
Au  0.2500  0.2500  0.2500  4 Hf 2.85, 4 Pd 2.85

VASP calculation (PBE) on a relaxed Hf2Pd8Au3 crystal.

formation enthalpy at 0 K	-0.195	eV/atom

abc: 5.2095 5.2095 10.4320
angles: 75.54 75.54 60.00
Closest atoms and distances in Å follow each position.
Fractional coordinates of all 13 atoms:
Pd  0.7721  0.2680  0.6919  4 Pd 2.58-2.63, 1 Hf 2.61
Pd  0.7320  0.7320  0.3081  4 Pd 2.58-2.63, 1 Hf 2.61
Pd  0.7320  0.2279  0.3081  4 Pd 2.58-2.63, 1 Hf 2.61
Pd  0.7205  0.7205  0.8385  1 Hf 2.56, 1 Au 2.82
Pd  0.2680  0.2680  0.6919  4 Pd 2.58-2.63, 1 Hf 2.61
Pd  0.2680  0.7721  0.6919  4 Pd 2.58-2.63, 1 Hf 2.61
Pd  0.2279  0.7320  0.3081  4 Pd 2.58-2.63, 1 Hf 2.61
Pd  0.2795  0.2795  0.1615  1 Hf 2.56, 1 Au 2.82
Au  0.1854  0.1854  0.4437  10 Pd 2.82-2.94
Au  0.8146  0.8146  0.5563  10 Pd 2.82-2.94
Au  0.0000  0.0000  0.0000  6 Hf 3.15, 12 Pd 3.41-3.42
Hf  0.3650  0.3650  0.9049  4 Pd 2.56-2.61
Hf  0.6350  0.6350  0.0951  4 Pd 2.56-2.61

VASP calculation (PBE) on a relaxed HfPd5Au2 crystal.

distance to the lowest polymorph of the same formula	0	meV/atom
formation enthalpy at 0 K	-0.504	eV/atom

abc: 4.0896 4.0896 8.3886
angles: 104.11 104.11 90.00
Closest atoms and distances in Å follow each position.
Fractional coordinates of all 8 atoms:
Hf  0.0000  0.0000  0.0000  12 Pd 2.80-2.89
Pd  0.3790  0.8790  0.7580  2 Hf 2.80, 6 Pd 2.80-2.89, 4 Au 2.86-2.91
Pd  0.5000  0.5000  0.0000  8 Pd 2.80, 4 Hf 2.89
Pd  0.1210  0.6210  0.2420  6 Pd 2.80-2.89, 2 Hf 2.80, 4 Au 2.86-2.91
Pd  0.8790  0.3790  0.7580  6 Pd 2.80-2.89, 2 Hf 2.80, 4 Au 2.86-2.91
Pd  0.6210  0.1210  0.2420  2 Hf 2.80, 6 Pd 2.80-2.89, 4 Au 2.86-2.91
Au  0.7478  0.7478  0.4956  8 Pd 2.86-2.91, 4 Au 2.89
Au  0.2522  0.2522  0.5044  8 Pd 2.86-2.91, 4 Au 2.89

VASP calculation (PBE) on a relaxed HfPd2Au5 crystal.

distance to the lowest polymorph of the same formula	0	meV/atom
formation enthalpy at 0 K	-0.317	eV/atom

abc: 5.7375 6.7692 9.5372
angles: 82.56 126.93 102.72
Closest atoms and distances in Å follow each position.
Fractional coordinates of all 16 atoms:
Au  0.7264  0.4083  0.2495  4 Pd 2.86-2.89, 6 Au 2.86-2.91, 2 Hf 2.87
Au  0.6296  0.2794  0.9420  4 Pd 2.85-2.98, 5 Au 2.86-2.92, 2 Hf 2.87-2.90
Au  0.2736  0.5917  0.7505  4 Pd 2.86-2.89, 6 Au 2.86-2.91, 2 Hf 2.87
Au  0.8907  0.0294  0.2578  6 Au 2.84-2.92, 3 Pd 2.88-3.00, 1 Hf 2.93
Au  0.3704  0.7206  0.0580  4 Pd 2.85-2.98, 5 Au 2.86-2.92, 2 Hf 2.87-2.90
Au  0.2467  0.7232  0.4439  4 Pd 2.84-2.95, 5 Au 2.86-2.91, 2 Hf 2.90-2.92
Au  0.3724  0.0250  0.2457  6 Au 2.84-2.91, 3 Pd 2.85-2.98, 1 Hf 2.97
Au  0.6276  0.9750  0.7543  6 Au 2.84-2.91, 3 Pd 2.85-2.98, 1 Hf 2.97
Au  0.7533  0.2768  0.5561  4 Pd 2.84-2.95, 5 Au 2.86-2.91, 2 Hf 2.90-2.92
Au  0.1093  0.9706  0.7422  6 Au 2.84-2.92, 3 Pd 2.88-3.00, 1 Hf 2.93
Pd  0.7357  0.7022  0.4432  2 Hf 2.76-2.84, 9 Au 2.84-2.98
Pd  0.1301  0.2894  0.9432  2 Hf 2.79-2.83, 9 Au 2.85-3.00
Pd  0.8699  0.7106  0.0568  2 Hf 2.79-2.83, 9 Au 2.85-3.00
Pd  0.2643  0.2978  0.5568  2 Hf 2.76-2.84, 9 Au 2.84-2.98
Hf  0.7728  0.5818  0.7518  4 Pd 2.76-2.84, 8 Au 2.87-2.97
Hf  0.2272  0.4182  0.2482  4 Pd 2.76-2.84, 8 Au 2.87-2.97